1.
GePIrN: relaxed, PBE.

The structure in extended XYZ format:
```
4
Lattice="3.005 0.000 0.000 1.424 3.325 0.000 0.418 0.498 5.862" Properties=species:S:1:pos:R:3 pbc="T T T"
Ge 0.000 0.000 0.000
P 2.929 3.346 2.870
Ir 1.427 2.060 4.062
N 2.936 3.274 1.216
```

calculated volume = 14.65 Å³ per atom
ΔE to the lowest computed polymorph = 0.0209 eV/atom
raw total energy = -6.952 eV/atom

2.
GePIrN: relaxed, PBE.

The structure in extended XYZ format:
```
4
Lattice="3.302 0.000 0.000 -1.334 3.719 0.000 -0.346 -0.537 4.904" Properties=species:S:1:pos:R:3 pbc="T T T"
Ge 0.000 0.000 0.000
P 0.188 2.601 2.607
Ir 1.841 1.239 3.277
N 0.299 3.551 1.241
```

calculated volume = 15.06 Å³ per atom
ΔE to the lowest computed polymorph = 0.2096 eV/atom
raw total energy = -6.764 eV/atom

Sequential raw formation energy output: -0.149; 0.040 eV per atom